Entry 1:
AlZn2Co: relaxed, GGA-PBE.

- Magnetization: 0.502 Bohr magnetons per cell
- Formation energy from the elements: -0.04 eV per atom

Cell lengths 3.093, 3.345, 5.232 Å; angles 90.00, 90.00, 90.00 degrees
Positions (direct):
1 Al 0.000 0.000 0.000
2 Zn 0.500 0.500 0.265
3 Zn 0.500 0.500 0.735
4 Co 0.000 0.000 0.500



Entry 2:
AlCdCuAu2: relaxed, GGA-PBE.

- Magnetization: 0.000 Bohr magnetons per cell
- Formation energy from the elements: 0.44 eV per atom

Cell lengths 4.863, 4.863, 4.840 Å; angles 90.00, 90.00, 90.00 degrees
Positions (direct):
1 Al 0.000 0.000 0.000
2 Cd 0.500 0.500 0.000
3 Cu 0.500 0.500 0.500
4 Au 0.000 0.500 0.500
5 Au 0.500 0.000 0.500



Entry 3:
Pm3NdSb2: relaxed, GGA-PBE.

- Excess energy over the best structure of this formula in the dataset: 0.089 eV/atom
- Magnetization: 0.005 Bohr magnetons per cell
- Energy relative to the elements, uncorrected: -0.734 eV per atom

Cell lengths 9.617, 9.617, 10.005 Å; angles 114.94, 114.94, 26.75 degrees
Positions (direct):
1 Pm 0.055 0.055 0.176
2 Pm 0.312 0.312 0.609
3 Pm 0.352 0.352 0.027
4 Pm 0.648 0.648 0.973
5 Pm 0.688 0.688 0.391
6 Pm 0.945 0.945 0.824
7 Nd 0.111 0.111 0.621
8 Nd 0.889 0.889 0.379
9 Sb 0.246 0.246 0.219
10 Sb 0.491 0.491 0.653
11 Sb 0.509 0.509 0.347
12 Sb 0.754 0.754 0.781



Entry 4:
AcPmTmZn: relaxed, GGA-PBE.

- Magnetization: 0.000 Bohr magnetons per cell
- Formation energy from the elements: 0.19 eV per atom

Cell lengths 5.547, 5.547, 5.547 Å; angles 60.00, 60.00, 60.00 degrees
Positions (direct):
1 Ac 0.000 0.000 0.000
2 Pm 0.750 0.750 0.750
3 Tm 0.250 0.250 0.250
4 Zn 0.500 0.500 0.500



Entry 5:
Mg2ScTc: relaxed, GGA-PBE.

- Excess energy over the best structure of this formula in the dataset: 0.000 eV/atom
- Magnetization: 0.000 Bohr magnetons per cell
- Formation energy from the elements: 0.02 eV per atom

Cell lengths 5.346, 5.346, 5.346 Å; angles 137.27, 133.84, 64.71 degrees
Positions (direct):
1 Mg 0.243 0.243 0.000
2 Mg 0.757 0.757 0.000
3 Sc 0.500 0.000 0.500
4 Tc 0.000 0.500 0.500



Entry 6:
Tb2NdY6: relaxed, GGA-PBE.

- Excess energy over the best structure of this formula in the dataset: 0.000 eV/atom
- Magnetization: 0.000 Bohr magnetons per cell
- Formation energy from the elements: 0.02 eV per atom

Cell lengths 10.742, 10.742, 5.066 Å; angles 90.00, 90.00, 90.00 degrees
Positions (direct):
1 Tb 0.167 0.167 0.000
2 Tb 0.333 0.667 0.500
3 Tb 0.667 0.333 0.500
4 Tb 0.833 0.833 0.000
5 Nd 0.000 0.000 0.500
6 Nd 0.500 0.500 0.000
7 Y 0.000 0.333 0.500
8 Y 0.000 0.667 0.500
9 Y 0.167 0.500 0.000
10 Y 0.167 0.833 0.000
11 Y 0.333 0.000 0.500
12 Y 0.333 0.333 0.500
13 Y 0.500 0.167 0.000
14 Y 0.500 0.833 0.000
15 Y 0.667 0.000 0.500
16 Y 0.667 0.667 0.500
17 Y 0.833 0.167 0.000
18 Y 0.833 0.500 0.000



Entry 7:
LiMg5Tl5: relaxed, GGA-PBE.

- Magnetization: 0.000 Bohr magnetons per cell
- Formation energy from the elements: 0.05 eV per atom

Cell lengths 5.638, 5.638, 10.749 Å; angles 90.00, 90.00, 120.00 degrees
Positions (direct):
1 Li 0.000 0.000 0.000
2 Mg 0.003 0.501 0.500
3 Mg 0.499 0.501 0.500
4 Mg 0.499 0.997 0.500
5 Mg 0.667 0.333 0.259
6 Mg 0.667 0.333 0.741
7 Tl 0.000 0.000 0.328
8 Tl 0.000 0.000 0.672
9 Tl 0.333 0.667 0.161
10 Tl 0.333 0.667 0.839
11 Tl 0.667 0.333 0.000



Entry 8:
YSc2Fe: relaxed, GGA-PBE.

- Excess energy over the best structure of this formula in the dataset: 0.258 eV/atom
- Magnetization: 1.037 Bohr magnetons per cell
- Formation energy from the elements: 0.21 eV per atom

Cell lengths 4.231, 4.366, 4.791 Å; angles 90.00, 90.00, 90.00 degrees
Positions (direct):
1 Y 0.000 0.000 0.000
2 Sc 0.000 0.500 0.500
3 Sc 0.500 0.000 0.500
4 Fe 0.500 0.500 0.000



Entry 9:
MnOsW2: relaxed, GGA-PBE.

- Excess energy over the best structure of this formula in the dataset: 0.054 eV/atom
- Magnetization: 1.943 Bohr magnetons per cell
- Formation energy from the elements: 0.16 eV per atom

Cell lengths 2.775, 3.874, 5.499 Å; angles 90.00, 90.00, 90.00 degrees
Positions (direct):
1 Mn 0.000 0.000 0.000
2 Os 0.000 0.000 0.500
3 W 0.500 0.500 0.248
4 W 0.500 0.500 0.752



Entry 10:
Pm2YCd2Ag2: relaxed, GGA-PBE.

- Magnetization: 0.000 Bohr magnetons per cell
- Formation energy from the elements: -0.19 eV per atom

Cell lengths 9.240, 9.240, 9.240 Å; angles 30.72, 30.72, 30.72 degrees
Positions (direct):
1 Pm 0.124 0.124 0.124
2 Pm 0.876 0.876 0.876
3 Y 0.000 0.000 0.000
4 Cd 0.267 0.267 0.267
5 Cd 0.733 0.733 0.733
6 Ag 0.395 0.395 0.395
7 Ag 0.605 0.605 0.605



Entry 11:
CaAl2Te: relaxed, GGA-PBE.

- Magnetization: 0.000 Bohr magnetons per cell
- Energy relative to the elements, uncorrected: -0.259 eV per atom

Cell lengths 5.694, 5.694, 4.486 Å; angles 113.12, 113.12, 112.40 degrees
Positions (direct):
1 Ca 0.000 0.000 0.000
2 Al 0.501 0.499 0.000
3 Al 0.750 0.250 0.500
4 Te 0.250 0.750 0.500



Entry 12:
YMg2Fe2: relaxed, GGA-PBE.

- Excess energy over the best structure of this formula in the dataset: 0.000 eV/atom
- Magnetization: 3.429 Bohr magnetons per cell
- Formation energy from the elements: 0.15 eV per atom

Cell lengths 6.410, 6.410, 6.410 Å; angles 142.49, 142.49, 54.08 degrees
Positions (direct):
1 Y 0.000 0.000 0.000
2 Mg 0.250 0.750 0.500
3 Mg 0.750 0.250 0.500
4 Fe 0.408 0.408 0.000
5 Fe 0.592 0.592 0.000



Entry 13:
KTl5Pd: relaxed, GGA-PBE.

- Magnetization: 0.000 Bohr magnetons per cell
- Formation energy from the elements: -0.08 eV per atom

Cell lengths 4.954, 4.954, 8.276 Å; angles 90.00, 90.00, 90.00 degrees
Positions (direct):
1 K 0.000 0.000 0.000
2 Tl 0.000 0.500 0.307
3 Tl 0.000 0.500 0.693
4 Tl 0.500 0.000 0.307
5 Tl 0.500 0.000 0.693
6 Tl 0.500 0.500 0.000
7 Pd 0.000 0.000 0.500